Below is a geometry-optimized LaVRe2Rh structure, with properties calculated at the PBE level.

Unit cell a=4.7178 b=4.7178 c=4.4707 alpha=90.00 beta=90.00 gamma=90.00
With the nearest neighbours (Å) after each atom.
Space group P4/mmm (No. 123)
Symmetry-distinct sites (fractional):
La (0.0000, 0.0000, 0.0000)  2 V 2.24, 4 Re 2.36
V (0.0000, 0.0000, 0.5000)  2 La 2.24
Re (0.0000, 0.5000, 0.0000)  2 La 2.36
Rh (0.5000, 0.5000, 0.5000)  8 Re 3.25, 4 V 3.34

Energy   -6.74 eV per atom

Below is a geometry-optimized YBr4N2 structure, with properties calculated at the PBE level.

Unit cell a=18.7948 b=4.1435 c=6.9479 alpha=90.00 beta=96.91 gamma=90.00
With the nearest neighbours (Å) after each atom.
Space group C2/m (No. 12)
Symmetry-distinct sites (fractional):
Y (0.0000, 0.0000, 0.0000)  6 Br 2.82-2.83
Br (0.0603, 0.0000, 0.3921)  1 Y 2.82, 1 Br 2.86
Br (0.0966, 0.5000, 0.9333)  2 Y 2.83
N (0.2393, 0.0000, 0.7388)  4 Br 3.61-3.90, 2 N 3.97

Formation energy without anion corrections   0.51 eV/atom

Below is a geometry-optimized ZrPb2 structure, with properties calculated at the PBE level.

Unit cell a=9.1662 b=9.1662 c=3.3423 alpha=90.00 beta=90.00 gamma=120.00
With the nearest neighbours (Å) after each atom.
Space group P-62m (No. 189)
Symmetry-distinct sites (fractional):
Zr (0.0000, 0.0000, 0.0000)  6 Pb 3.04, 2 Zr 3.34
Zr (0.3333, 0.6667, 0.5000)  9 Pb 3.23-3.34, 2 Zr 3.34
Pb (0.0000, 0.2769, 0.5000)  4 Zr 3.04-3.34, 4 Pb 3.30-3.34
Pb (0.0000, 0.5877, 0.0000)  4 Zr 3.23, 4 Pb 3.30-3.34

Energy   -5.23 eV per atom

Below is a geometry-optimized BeTl2CoCu structure, with properties calculated at the PBE level.

Unit cell a=4.8255 b=4.8255 c=4.1884 alpha=90.00 beta=90.00 gamma=90.00
With the nearest neighbours (Å) after each atom.
Space group P4/mmm (No. 123)
Symmetry-distinct sites (fractional):
Be (0.0000, 0.0000, 0.0000)  2 Cu 2.09
Tl (0.0000, 0.5000, 0.0000)  2 Be 2.41
Co (0.5000, 0.5000, 0.5000)  8 Tl 3.19, 4 Cu 3.41
Cu (0.0000, 0.0000, 0.5000)  2 Be 2.09

Energy   -3.02 eV per atom

Below is a geometry-optimized LiTm6Pd2 structure, with properties calculated at the PBE level.

Unit cell a=13.8260 b=3.9381 c=10.2200 alpha=90.00 beta=125.86 gamma=90.00
With the nearest neighbours (Å) after each atom.
Space group C2/m (No. 12)
Symmetry-distinct sites (fractional):
Li (0.0000, 0.0000, 0.0000)  4 Pd 2.85, 4 Tm 2.92
Tm (0.0207, 0.0000, 0.6811)  2 Pd 2.89
Tm (0.1658, 0.5000, 0.0256)  2 Li 2.92, 2 Pd 2.95-3.01
Tm (0.2176, 0.5000, 0.6207)  3 Pd 2.88-3.13
Pd (0.0957, 0.5000, 0.2486)  2 Li 2.85, 7 Tm 2.88-3.13

Energy   -4.73 eV per atom

Below is a geometry-optimized Al3VGa6 structure, with properties calculated at the PBE level.

Unit cell a=9.2859 b=9.2859 c=14.0955 alpha=90.00 beta=90.00 gamma=120.00
With the nearest neighbours (Å) after each atom.
Space group R-3 (No. 148, hexagonal axes)
Symmetry-distinct sites (fractional):
Al (0.0177, 0.5028, 0.3215)  5 Ga 2.75-3.00, 1 V 2.83, 2 Al 2.84
V (0.0000, 0.0000, 0.0000)  6 Ga 2.69, 6 Al 2.83
V (0.0000, 0.0000, 0.5000)  6 Ga 2.69
Ga (0.0248, 0.5044, 0.0933)  3 Ga 2.65-2.84, 1 V 2.69, 2 Al 2.75-2.78
Ga (0.0766, 0.8932, 0.8409)  4 Ga 2.44-2.65, 1 V 2.69

Energy   -3.80 eV per atom

Below is a geometry-optimized Tb5YSc4 structure, with properties calculated at the PBE level.

Unit cell a=8.7339 b=8.7428 c=7.7823 alpha=90.00 beta=90.00 gamma=90.00
With the nearest neighbours (Å) after each atom.
Space group Pmmn (No. 59, origin choice 2)
Symmetry-distinct sites (fractional):
Tb (0.0568, 0.0570, 0.2010)  4 Sc 3.18-3.50, 5 Tb 3.37-3.54, 1 Y 3.47
Tb (0.2500, 0.7500, 0.9998)  8 Tb 3.53-3.54, 4 Sc 3.81-3.82
Y (0.2500, 0.2500, 0.8774)  4 Sc 3.27-3.28, 4 Tb 3.47
Sc (0.0198, 0.7500, 0.4151)  4 Sc 3.15-3.32, 4 Tb 3.18-3.50, 1 Y 3.28
Sc (0.2500, 0.5174, 0.5843)  4 Sc 3.15-3.32, 4 Tb 3.18-3.49, 1 Y 3.27

Energy   -5.33 eV per atom

Below is a geometry-optimized LaNiPt3 structure, with properties calculated at the PBE level.

Unit cell a=5.1956 b=5.1956 c=5.1956 alpha=90.00 beta=90.00 gamma=90.00
With the nearest neighbours (Å) after each atom.
Space group Pm-3m (No. 221)
Symmetry-distinct sites (fractional):
La (0.0000, 0.0000, 0.0000)  6 Pt 2.60
Ni (0.5000, 0.5000, 0.5000)  12 Pt 3.67
Pt (0.0000, 0.0000, 0.5000)  2 La 2.60

Energy relative to the lowest polymorph listed for this composition   154.9 kJ/mol of atoms

Below is a geometry-optimized Sr2LaRe2N6 structure, with properties calculated at the PBE level.

Unit cell a=6.1945 b=6.1945 c=18.4135 alpha=90.00 beta=90.00 gamma=120.00
With the nearest neighbours (Å) after each atom.
Space group R-3m (No. 166, hexagonal axes)
Symmetry-distinct sites (fractional):
Sr (0.0000, 0.0000, 0.2047)  3 N 2.72
La (0.0000, 0.0000, 0.0000)  6 N 2.47
Re (0.0000, 0.0000, 0.4205)  3 N 1.80
N (0.0019, 0.5009, 0.7596)  1 Re 1.80

Formation energy without anion corrections   -0.60 eV/atom

Below is a geometry-optimized YRuSe2 structure, with properties calculated at the PBE level.

Unit cell a=4.6755 b=4.6755 c=3.4065 alpha=90.00 beta=90.00 gamma=90.00
With the nearest neighbours (Å) after each atom.
Space group P4/mmm (No. 123)
Symmetry-distinct sites (fractional):
Y (0.0000, 0.0000, 0.0000)  8 Se 2.89
Ru (0.5000, 0.5000, 0.0000)  8 Se 2.89
Se (0.0000, 0.5000, 0.5000)  4 Ru 2.89, 4 Y 2.89

Formation energy without anion corrections   -0.69 eV/atom
Energy relative to the lowest polymorph listed for this composition   11.2 kJ/mol of atoms

Below is a geometry-optimized CsCdF4 structure, with properties calculated at the PBE level.

Unit cell a=4.4514 b=16.0937 c=6.7570 alpha=90.00 beta=90.00 gamma=90.00
With the nearest neighbours (Å) after each atom.
Space group Cmcm (No. 63)
Symmetry-distinct sites (fractional):
Cs (0.0000, 0.1480, 0.2500)  6 F 2.99-3.12
Cd (0.0000, 0.4144, 0.2500)  6 F 2.11-2.23
F (0.0000, 0.0752, 0.7500)  2 Cd 2.23
F (0.0000, 0.3195, 0.0343)  1 Cd 2.11
F (0.0000, 0.5000, 0.0000)  2 Cd 2.18

Formation energy without anion corrections   -2.02 eV/atom
Energy relative to the lowest polymorph listed for this composition   1.0 kJ/mol of atoms

Below is a geometry-optimized RbLiHoS2 structure, with properties calculated at the PBE level.

Unit cell a=7.8521 b=15.6335 c=5.0452 alpha=90.00 beta=90.00 gamma=90.00
With the nearest neighbours (Å) after each atom.
Space group Cmme (No. 67)
Symmetry-distinct sites (fractional):
Rb (0.0000, 0.2500, 0.1642)  4 S 3.33-3.45
Li (0.0000, 0.0000, 0.0000)  2 S 2.42
Ho (0.2500, 0.0000, 0.5000)  4 S 2.67
S (0.0000, 0.1056, 0.6483)  1 Li 2.42, 2 Ho 2.67

Formation energy without anion corrections   -1.25 eV/atom

Below is a geometry-optimized LiAlP2 structure, with properties calculated at the PBE level.

Unit cell a=5.9953 b=5.9953 c=9.3730 alpha=90.00 beta=90.00 gamma=90.00
With the nearest neighbours (Å) after each atom.
Space group I-42d (No. 122)
Symmetry-distinct sites (fractional):
Li (0.0000, 0.0000, 0.0000)  4 P 2.48
Al (0.0000, 0.0000, 0.5000)  4 P 2.36
P (0.2333, 0.2500, 0.6250)  2 Al 2.36, 2 Li 2.48

Energy   -4.12 eV per atom

Below is a geometry-optimized CdAgI structure, with properties calculated at the PBE level.

Unit cell a=4.1870 b=6.1188 c=7.8065 alpha=104.03 beta=90.00 gamma=90.11
With the nearest neighbours (Å) after each atom.
Space group P1 (No. 1)
Symmetry-distinct sites (fractional):
Cd (0.0000, 0.0000, 0.0000)  4 Ag 2.77-2.84, 1 I 2.96, 1 Cd 3.03
Cd (0.0013, 0.3015, 0.3709)  2 Ag 2.92, 1 Cd 3.03, 3 I 3.12-3.21
Ag (0.4990, 0.6886, 0.8772)  2 Cd 2.84, 1 Ag 2.87, 2 I 2.95
Ag (0.4997, 0.9754, 0.2280)  4 Cd 2.77-2.92, 1 I 2.85, 1 Ag 2.87
I (0.5015, 0.6897, 0.4671)  1 Ag 2.85, 2 Cd 3.12
I (0.9981, 0.3400, 0.7878)  2 Ag 2.95, 2 Cd 2.96-3.21

Formation energy without anion corrections   -0.13 eV/atom
Energy relative to the lowest polymorph listed for this composition   2.6 kJ/mol of atoms

Below is a geometry-optimized AlInPb2 structure, with properties calculated at the PBE level.

Unit cell a=3.5137 b=5.5416 c=11.2063 alpha=90.00 beta=90.00 gamma=90.00
With the nearest neighbours (Å) after each atom.
Space group Imm2 (No. 44)
Symmetry-distinct sites (fractional):
Al (0.0000, 0.0000, 0.0000)  2 In 2.99, 6 Pb 3.09-3.28
In (0.0000, 0.5000, 0.2837)  2 Al 2.99, 4 Pb 3.34
Pb (0.0000, 0.0000, 0.5140)  4 Al 3.28, 2 In 3.50, 6 Pb 3.51-3.66
Pb (0.0000, 0.5000, 0.7272)  2 Al 3.09, 4 In 3.34

Energy relative to the lowest polymorph listed for this composition   1.9 kJ/mol of atoms

Below is a geometry-optimized LuSn2Ru structure, with properties calculated at the PBE level.

Unit cell a=4.4926 b=4.4926 c=14.8037 alpha=90.00 beta=90.00 gamma=120.00
With the nearest neighbours (Å) after each atom.
Space group R-3m (No. 166, hexagonal axes)
Symmetry-distinct sites (fractional):
Lu (0.0000, 0.0000, 0.0000)  6 Sn 3.02
Sn (0.0000, 0.0000, 0.2287)  3 Ru 2.75, 3 Lu 3.02
Ru (0.0000, 0.0000, 0.5000)  6 Sn 2.75

Energy   -5.76 eV per atom

Below is a geometry-optimized Rb2LaZrF6 structure, with properties calculated at the PBE level.

Unit cell a=6.6630 b=6.6630 c=9.4117 alpha=90.00 beta=90.00 gamma=90.00
With the nearest neighbours (Å) after each atom.
Space group I4/mmm (No. 139)
Symmetry-distinct sites (fractional):
Rb (0.0000, 0.5000, 0.2500)  12 F 3.33
La (0.0000, 0.0000, 0.0000)  6 F 2.36
Zr (0.0000, 0.0000, 0.5000)  6 F 2.34-2.35
F (0.0000, 0.0000, 0.2509)  1 Zr 2.34, 1 La 2.36
F (0.2505, 0.2505, 0.0000)  1 Zr 2.35, 1 La 2.36

Formation energy without anion corrections   -2.83 eV/atom

Below is a geometry-optimized Pm2PbCl8 structure, with properties calculated at the PBE level.

Unit cell a=8.5143 b=12.4589 c=5.4816 alpha=90.00 beta=104.27 gamma=90.00
With the nearest neighbours (Å) after each atom.
Space group C2/m (No. 12)
Symmetry-distinct sites (fractional):
Pm (0.0000, 0.1839, 0.0000)  8 Cl 2.81-2.91
Pb (0.0000, 0.5000, 0.5000)  4 Cl 2.97-3.11
Cl (0.0000, 0.2617, 0.5000)  2 Pm 2.91, 1 Pb 2.97
Cl (0.1240, 0.0000, 0.3049)  2 Pm 2.88, 1 Pb 3.11
Cl (0.1951, 0.3685, 0.0867)  2 Pm 2.81-2.83

Formation energy without anion corrections   -1.90 eV/atom
Energy relative to the lowest polymorph listed for this composition   4.1 kJ/mol of atoms

Magnetic moment for every record listed, in sequence, given in μB per atom: 0.00; 1.00; 0.00; 0.39; 0.00; 0.14; 0.00; 0.00; 0.09; 0.00; 0.13; 0.00; 0.00; 0.00; 0.00; 0.00; 0.26; 0.00.